# 1
The following is a DFT calculation (GGA-PBE) of a relaxed CsZnOs3 crystal.

a b c (Å): 4.970 4.970 4.970
angles (deg): 90.00 90.00 90.00
Fractional coordinates of all 5 atoms:
1 Cs 0.000 0.000 0.000
2 Zn 0.500 0.500 0.500
3 Os 0.000 0.000 0.500
4 Os 0.000 0.500 0.000
5 Os 0.500 0.000 0.000

Values from the calculation:
ΔH_f (0 K) = 1914 kJ/mol of formula units
E above lowest polymorph = 7.39 eV/f.u.
N(E_F) = 1.4646 states/eV/atom
V = 24.56 Å³ per atom
Total magnetic moment = 4.233 μB per formula unit

---

# 2
The following is a DFT calculation (GGA-PBE) of a relaxed CsZnOs2 crystal.

a b c (Å): 4.748 4.748 18.653
angles (deg): 90.00 90.00 90.00
Fractional coordinates of all 16 atoms:
1 Cs 0.000 0.000 0.000
2 Cs 0.000 0.500 0.250
3 Cs 0.500 0.000 0.750
4 Cs 0.500 0.500 0.500
5 Zn 0.000 0.000 0.500
6 Zn 0.000 0.500 0.750
7 Zn 0.500 0.000 0.250
8 Zn 0.500 0.500 0.000
9 Os 0.053 0.250 0.625
10 Os 0.250 0.553 0.875
11 Os 0.250 0.947 0.375
12 Os 0.447 0.250 0.125
13 Os 0.553 0.750 0.125
14 Os 0.750 0.053 0.375
15 Os 0.750 0.447 0.875
16 Os 0.947 0.750 0.625

Values from the calculation:
ΔH_f (0 K) = 529 kJ/mol of formula units
N(E_F) = 0.8525 states/eV/atom
V = 26.28 Å³ per atom
Total magnetic moment = 0.002 μB per formula unit

---

# 3
The following is a DFT calculation (GGA-PBE) of a relaxed CsZnOs3 crystal.

a b c (Å): 4.777 4.777 4.777
angles (deg): 90.00 90.00 90.00
Fractional coordinates of all 5 atoms:
1 Cs 0.000 0.000 0.000
2 Zn 0.500 0.500 0.500
3 Os 0.000 0.500 0.500
4 Os 0.500 0.000 0.500
5 Os 0.500 0.500 0.000

Values from the calculation:
ΔH_f (0 K) = 1201 kJ/mol of formula units
E above lowest polymorph = 0.00 eV/f.u.
N(E_F) = 1.7712 states/eV/atom
V = 21.80 Å³ per atom
Total magnetic moment = 3.850 μB per formula unit

---

# 4
The following is a DFT calculation (GGA-PBE) of a relaxed CsZr2Os crystal.

a b c (Å): 7.061 7.061 7.061
angles (deg): 90.00 90.00 90.00
Fractional coordinates of all 16 atoms:
1 Cs 0.000 0.000 0.000
2 Cs 0.000 0.500 0.500
3 Cs 0.500 0.000 0.500
4 Cs 0.500 0.500 0.000
5 Zr 0.250 0.250 0.250
6 Zr 0.250 0.250 0.750
7 Zr 0.250 0.750 0.250
8 Zr 0.250 0.750 0.750
9 Zr 0.750 0.250 0.250
10 Zr 0.750 0.250 0.750
11 Zr 0.750 0.750 0.250
12 Zr 0.750 0.750 0.750
13 Os 0.000 0.000 0.500
14 Os 0.000 0.500 0.000
15 Os 0.500 0.000 0.000
16 Os 0.500 0.500 0.500

Values from the calculation:
ΔH_f (0 K) = 386 kJ/mol of formula units
E above lowest polymorph = 0.00 eV/f.u.
N(E_F) = 1.6799 states/eV/atom
V = 22.00 Å³ per atom
Total magnetic moment = 0.000 μB per formula unit

---

# 5
The following is a DFT calculation (GGA-PBE) of a relaxed CsZrOs2 crystal.

a b c (Å): 5.063 5.063 18.362
angles (deg): 90.00 90.00 90.00
Fractional coordinates of all 16 atoms:
1 Cs 0.000 0.000 0.000
2 Cs 0.000 0.500 0.250
3 Cs 0.500 0.000 0.750
4 Cs 0.500 0.500 0.500
5 Zr 0.000 0.000 0.500
6 Zr 0.000 0.500 0.750
7 Zr 0.500 0.000 0.250
8 Zr 0.500 0.500 0.000
9 Os 0.023 0.250 0.625
10 Os 0.250 0.523 0.875
11 Os 0.250 0.977 0.375
12 Os 0.477 0.250 0.125
13 Os 0.523 0.750 0.125
14 Os 0.750 0.023 0.375
15 Os 0.750 0.477 0.875
16 Os 0.977 0.750 0.625

Values from the calculation:
ΔH_f (0 K) = 527 kJ/mol of formula units
E above lowest polymorph = 0.00 eV/f.u.
N(E_F) = 1.1407 states/eV/atom
V = 29.42 Å³ per atom
Total magnetic moment = 0.000 μB per formula unit

---

# 6
The following is a DFT calculation (GGA-PBE) of a relaxed CsZrOs2 crystal.

a b c (Å): 6.895 6.895 6.895
angles (deg): 90.00 90.00 90.00
Fractional coordinates of all 16 atoms:
1 Cs 0.000 0.000 0.000
2 Cs 0.000 0.500 0.500
3 Cs 0.500 0.000 0.500
4 Cs 0.500 0.500 0.000
5 Zr 0.000 0.000 0.500
6 Zr 0.000 0.500 0.000
7 Zr 0.500 0.000 0.000
8 Zr 0.500 0.500 0.500
9 Os 0.250 0.250 0.250
10 Os 0.250 0.250 0.750
11 Os 0.250 0.750 0.250
12 Os 0.250 0.750 0.750
13 Os 0.750 0.250 0.250
14 Os 0.750 0.250 0.750
15 Os 0.750 0.750 0.250
16 Os 0.750 0.750 0.750

Values from the calculation:
ΔH_f (0 K) = 595 kJ/mol of formula units
E above lowest polymorph = 0.71 eV/f.u.
N(E_F) = 0.9144 states/eV/atom
V = 20.48 Å³ per atom
Total magnetic moment = 0.000 μB per formula unit

---

# 7
The following is a DFT calculation (GGA-PBE) of a relaxed CsZr2Os crystal.

a b c (Å): 6.928 6.928 14.414
angles (deg): 90.00 90.00 90.00
Fractional coordinates of all 16 atoms:
1 Cs 0.000 0.250 0.375
2 Cs 0.000 0.750 0.625
3 Cs 0.500 0.250 0.125
4 Cs 0.500 0.750 0.875
5 Zr 0.000 0.000 0.000
6 Zr 0.000 0.500 0.000
7 Zr 0.250 0.250 0.750
8 Zr 0.250 0.750 0.250
9 Zr 0.500 0.000 0.500
10 Zr 0.500 0.500 0.500
11 Zr 0.750 0.250 0.750
12 Zr 0.750 0.750 0.250
13 Os 0.000 0.250 0.875
14 Os 0.000 0.750 0.125
15 Os 0.500 0.250 0.625
16 Os 0.500 0.750 0.375

Values from the calculation:
ΔH_f (0 K) = 443 kJ/mol of formula units
E above lowest polymorph = 0.59 eV/f.u.
N(E_F) = 1.1765 states/eV/atom
V = 43.24 Å³ per atom
Total magnetic moment = 0.000 μB per formula unit

---

# 8
The following is a DFT calculation (GGA-PBE) of a relaxed CsP7 crystal.

a b c (Å): 9.562 9.816 9.802
angles (deg): 90.00 90.00 90.00
Fractional coordinates of all 32 atoms:
1 Cs 0.211 0.250 0.000
2 Cs 0.211 0.250 0.500
3 Cs 0.789 0.750 0.000
4 Cs 0.789 0.750 0.500
5 P 0.089 0.683 0.250
6 P 0.089 0.817 0.750
7 P 0.168 0.633 0.635
8 P 0.168 0.633 0.865
9 P 0.168 0.867 0.135
10 P 0.168 0.867 0.365
11 P 0.248 0.529 0.250
12 P 0.248 0.971 0.750
13 P 0.390 0.684 0.593
14 P 0.390 0.684 0.907
15 P 0.390 0.816 0.093
16 P 0.390 0.816 0.407
17 P 0.431 0.656 0.250
18 P 0.431 0.844 0.750
19 P 0.569 0.156 0.250
20 P 0.569 0.344 0.750
21 P 0.610 0.184 0.593
22 P 0.610 0.184 0.907
23 P 0.610 0.316 0.093
24 P 0.610 0.316 0.407
25 P 0.752 0.029 0.250
26 P 0.752 0.471 0.750
27 P 0.832 0.133 0.635
28 P 0.832 0.133 0.865
29 P 0.832 0.367 0.135
30 P 0.832 0.367 0.365
31 P 0.911 0.183 0.250
32 P 0.911 0.317 0.750

Values from the calculation:
ΔH_f (0 K) = -158 kJ/mol of formula units
V = 28.75 Å³ per atom
Total magnetic moment = 0.000 μB per formula unit